Version a
VASP calculation (PBE) on crystalline YCoNiSb at its relaxed geometry.

Cell and atoms, written as extended XYZ:
```
4
Lattice="0.000 3.308 3.308 3.308 0.000 3.308 3.308 3.308 0.000" Properties=species:S:1:pos:R:3 pbc="T T T"
Y 0.000 0.000 0.000
Co 3.308 3.308 3.308
Ni 4.961 4.961 4.961
Sb 1.654 1.654 1.654
```

---

Version b
VASP calculation (PBE) on crystalline YCoNiSb at its relaxed geometry.

Cell and atoms, written as extended XYZ:
```
4
Lattice="0.000 3.222 3.222 3.222 0.000 3.222 3.222 3.222 0.000" Properties=species:S:1:pos:R:3 pbc="T T T"
Y 0.000 0.000 0.000
Co 4.833 4.833 4.833
Ni 1.611 1.611 1.611
Sb 3.222 3.222 3.222
```

---

Energies in kJ/mol of atoms, measured from the most stable structure: version a 31.6; version b 0.0.

---

Version a
VASP calculation (PBE) on crystalline ZrCoNiSb at its relaxed geometry.

Cell and atoms, written as extended XYZ:
```
4
Lattice="0.000 3.143 3.143 3.143 0.000 3.143 3.143 3.143 0.000" Properties=species:S:1:pos:R:3 pbc="T T T"
Zr 0.000 0.000 0.000
Co 4.714 4.714 4.714
Ni 1.571 1.571 1.571
Sb 3.143 3.143 3.143
```

---

Version b
VASP calculation (PBE) on crystalline ZrCoNiSb at its relaxed geometry.

Cell and atoms, written as extended XYZ:
```
4
Lattice="0.000 3.191 3.191 3.191 0.000 3.191 3.191 3.191 0.000" Properties=species:S:1:pos:R:3 pbc="T T T"
Zr 0.000 0.000 0.000
Co 3.191 3.191 3.191
Ni 4.786 4.786 4.786
Sb 1.595 1.595 1.595
```

---

Energies in kJ/mol of atoms, measured from the most stable structure: version a 0.0; version b 28.6.

---

Version a
VASP calculation (PBE) on crystalline ScCoNiSn at its relaxed geometry.

Cell and atoms, written as extended XYZ:
```
4
Lattice="0.000 3.145 3.145 3.145 0.000 3.145 3.145 3.145 0.000" Properties=species:S:1:pos:R:3 pbc="T T T"
Sc 0.000 0.000 0.000
Co 3.145 3.145 3.145
Ni 1.573 1.573 1.573
Sn 4.718 4.718 4.718
```

---

Version b
VASP calculation (PBE) on crystalline ScCoNiSn at its relaxed geometry.

Cell and atoms, written as extended XYZ:
```
4
Lattice="0.000 3.165 3.165 3.165 0.000 3.165 3.165 3.165 0.000" Properties=species:S:1:pos:R:3 pbc="T T T"
Sc 0.000 0.000 0.000
Co 4.747 4.747 4.747
Ni 3.165 3.165 3.165
Sn 1.582 1.582 1.582
```

---

Version c
VASP calculation (PBE) on crystalline ScCoNiSn at its relaxed geometry.

Cell and atoms, written as extended XYZ:
```
4
Lattice="0.000 3.110 3.110 3.110 0.000 3.110 3.110 3.110 0.000" Properties=species:S:1:pos:R:3 pbc="T T T"
Sc 0.000 0.000 0.000
Co 4.665 4.665 4.665
Ni 1.555 1.555 1.555
Sn 3.110 3.110 3.110
```

---

Energies in kJ/mol of atoms, measured from the most stable structure: version a 31.6; version b 33.7; version c 0.0.

---

Version a
VASP calculation (PBE) on crystalline ScTlCoNi at its relaxed geometry.

Cell and atoms, written as extended XYZ:
```
4
Lattice="0.000 3.191 3.191 3.191 0.000 3.191 3.191 3.191 0.000" Properties=species:S:1:pos:R:3 pbc="T T T"
Sc 0.000 0.000 0.000
Tl 1.596 1.596 1.596
Co 3.191 3.191 3.191
Ni 4.787 4.787 4.787
```

---

Version b
VASP calculation (PBE) on crystalline ScTlCoNi at its relaxed geometry.

Cell and atoms, written as extended XYZ:
```
4
Lattice="0.000 3.150 3.150 3.150 0.000 3.150 3.150 3.150 0.000" Properties=species:S:1:pos:R:3 pbc="T T T"
Sc 0.000 0.000 0.000
Tl 3.150 3.150 3.150
Co 4.724 4.724 4.724
Ni 1.575 1.575 1.575
```

---

Energies in kJ/mol of atoms, measured from the most stable structure: version a 22.7; version b 0.0.

---

Version a
VASP calculation (PBE) on crystalline ScZnCoNi at its relaxed geometry.

Cell and atoms, written as extended XYZ:
```
4
Lattice="0.000 3.013 3.013 3.013 0.000 3.013 3.013 3.013 0.000" Properties=species:S:1:pos:R:3 pbc="T T T"
Sc 0.000 0.000 0.000
Zn 4.519 4.519 4.519
Co 1.506 1.506 1.506
Ni 3.013 3.013 3.013
```

---

Version b
VASP calculation (PBE) on crystalline ScZnCoNi at its relaxed geometry.

Cell and atoms, written as extended XYZ:
```
4
Lattice="0.000 3.018 3.018 3.018 0.000 3.018 3.018 3.018 0.000" Properties=species:S:1:pos:R:3 pbc="T T T"
Sc 0.000 0.000 0.000
Zn 1.509 1.509 1.509
Co 3.018 3.018 3.018
Ni 4.528 4.528 4.528
```

---

Energies in kJ/mol of atoms, measured from the most stable structure: version a 1.9; version b 0.0.

---

Version a
VASP calculation (PBE) on crystalline TaCoSiNi at its relaxed geometry.

Cell and atoms, written as extended XYZ:
```
4
Lattice="0.000 2.935 2.935 2.935 0.000 2.935 2.935 2.935 0.000" Properties=species:S:1:pos:R:3 pbc="T T T"
Ta 0.000 0.000 0.000
Co 4.402 4.402 4.402
Si 2.935 2.935 2.935
Ni 1.467 1.467 1.467
```

---

Version b
VASP calculation (PBE) on crystalline TaCoSiNi at its relaxed geometry.

Cell and atoms, written as extended XYZ:
```
4
Lattice="0.000 2.950 2.950 2.950 0.000 2.950 2.950 2.950 0.000" Properties=species:S:1:pos:R:3 pbc="T T T"
Ta 0.000 0.000 0.000
Co 4.425 4.425 4.425
Si 1.475 1.475 1.475
Ni 2.950 2.950 2.950
```

---

Energies in kJ/mol of atoms, measured from the most stable structure: version a 0.0; version b 15.4.